(1)
A plane-wave DFT calculation with GGA-PBE was carried out for crystalline Be3Ni2 at its relaxed geometry.

Calculated values
Magnetic moment, μB per formula unit: 0.00
Energy of formation from the pure elements, eV per atom: -0.36
Symmetry: R-3m (166)

Lattice parameters (Å, degrees): 4.4296 4.4296 4.4296 48.05 48.05 48.05
Last column: nearest neighbours and their distance in Å.
Fractional positions:
1 Be 0.0000 0.0000 0.0000  6 Ni 2.21, 2 Be 2.32
2 Be 0.1980 0.1980 0.1980  4 Be 2.21-2.32, 4 Ni 2.24-2.34
3 Be 0.8020 0.8020 0.8020  4 Be 2.21-2.32, 4 Ni 2.24-2.34
4 Ni 0.3975 0.3975 0.3975  7 Be 2.21-2.34, 1 Ni 2.40
5 Ni 0.6025 0.6025 0.6025  7 Be 2.21-2.34, 1 Ni 2.40

(2)
A plane-wave DFT calculation with GGA-PBE was carried out for crystalline Be3Ni at its relaxed geometry.

Calculated values
Magnetic moment, μB per formula unit: 0.00
Energy of formation from the pure elements, eV per atom: -0.26
Symmetry: Fm-3m (225)

Lattice parameters (Å, degrees): 3.6346 3.6346 3.6346 60.00 60.00 60.00
Last column: nearest neighbours and their distance in Å.
Fractional positions:
1 Be 0.0000 0.0000 0.0000  8 Be 2.23
2 Be 0.2500 0.2500 0.2500  4 Be 2.23, 4 Ni 2.23
3 Be 0.7500 0.7500 0.7500  4 Be 2.23, 4 Ni 2.23
4 Ni 0.5000 0.5000 0.5000  8 Be 2.23

(3)
A plane-wave DFT calculation with GGA-PBE was carried out for crystalline Be3Ni at its relaxed geometry.

Calculated values
Magnetic moment, μB per formula unit: 0.00
Energy of formation from the pure elements, eV per atom: -0.19
Symmetry: P2/m (10)

Lattice parameters (Å, degrees): 2.3313 3.5375 4.2770 90.00 102.35 90.00
Last column: nearest neighbours and their distance in Å.
Fractional positions:
1 Be 0.0000 0.0000 0.0000  6 Be 2.16-2.33, 2 Ni 2.21
2 Be 0.1984 0.5000 0.7544  6 Be 2.16-2.33, 2 Ni 2.27
3 Be 0.8016 0.5000 0.2456  6 Be 2.16-2.33, 2 Ni 2.27
4 Ni 0.5000 0.0000 0.5000  6 Be 2.21-2.27, 2 Ni 2.33